Entry 1:
## ZnIrPd2S (PBE)

Data for a relaxed ZnIrPd2S crystal.

Unit cell a=4.422 b=4.422 c=4.381 alpha=90.00 beta=90.00 gamma=90.00
Space group P4/mmm (No. 123)
One atom of each set of equivalent atoms:
1 Zn 0.000 0.000 0.000
2 Ir 0.500 0.500 0.000
3 Pd 0.000 0.500 0.500
4 S 0.000 0.000 0.500

Calculated values
Electronic total energy   -4.370 eV/atom
Volume   17.132 Å³ per atom
Theoretical density   9.74 g/cm³
Magnetization   0.00 μB/atom
Formation energy without anion corrections   560 meV/atom


Entry 2:
## NaMnIn2 (PBE)

Data for a relaxed NaMnIn2 crystal.

Unit cell a=3.195 b=3.195 c=8.722 alpha=90.00 beta=90.00 gamma=90.00
Space group P4/mmm (No. 123)
One atom of each set of equivalent atoms:
1 Na 0.000 0.000 0.000
2 Mn 0.000 0.000 0.500
3 In 0.500 0.500 0.291

Calculated values
Electronic total energy   -3.922 eV/atom
Volume   22.263 Å³ per atom
Energy above the lowest structure with this stoichiometry   0.00 kJ per mole of atoms
Theoretical density   5.74 g/cm³
Energy relative to the elements   0.07 eV/atom
Magnetization   0.89 μB/atom


Entry 3:
## KSrSe2 (PBE)

Data for a relaxed KSrSe2 crystal.

Unit cell a=3.628 b=4.248 c=16.952 alpha=90.00 beta=90.00 gamma=90.00
Space group Imm2 (No. 44)
One atom of each set of equivalent atoms:
1 K 0.000 0.000 0.000
2 Sr 0.000 0.500 0.253
3 Se 0.000 0.000 0.389
4 Se 0.000 0.500 0.667

Calculated values
Electronic total energy   -3.679 eV/atom
Volume   32.653 Å³ per atom
Theoretical density   3.62 g/cm³
Magnetization   0.00 μB/atom
Formation energy without anion corrections   -1242 meV/atom


Entry 4:
## Ce2TaWN6 (PBE)

Data for a relaxed Ce2TaWN6 crystal.

Unit cell a=5.571 b=5.696 c=9.692 alpha=90.00 beta=125.03 gamma=90.00
Space group P2_1/c (No. 14)
One atom of each set of equivalent atoms:
1 Ce 0.244 0.053 0.250
2 Ta 0.500 0.000 0.000
3 W 0.000 0.000 0.500
4 N 0.147 0.202 0.953
5 N 0.253 0.696 0.954
6 N 0.337 0.024 0.747

Calculated values
Electronic total energy   -9.833 eV/atom
Volume   12.591 Å³ per atom
Theoretical density   9.61 g/cm³
Magnetization   0.02 μB/atom
Formation energy without anion corrections   -1170 meV/atom


Entry 5:
## BeZnAu (PBE)

Data for a relaxed BeZnAu crystal.

Unit cell a=7.934 b=4.049 c=3.063 alpha=90.00 beta=112.56 gamma=90.00
Space group Cm (No. 8)
One atom of each set of equivalent atoms:
1 Be 0.000 0.000 0.000
2 Zn 0.431 0.000 0.432
3 Au 0.220 0.500 0.220

Calculated values
Electronic total energy   -2.735 eV/atom
Volume   15.145 Å³ per atom
Energy above the lowest structure with this stoichiometry   12.66 kJ per mole of atoms
Theoretical density   9.92 g/cm³
Energy relative to the elements   0.02 eV/atom
Magnetization   0.00 μB/atom


Entry 6:
## Pm8Ho5Sc (PBE)

Data for a relaxed Pm8Ho5Sc crystal.

Unit cell a=9.627 b=9.627 c=10.157 alpha=90.00 beta=90.00 gamma=90.00
Space group I-4 (No. 82)
One atom of each set of equivalent atoms:
1 Pm 0.067 0.172 0.342
2 Pm 0.086 0.316 0.004
3 Ho 0.000 0.500 0.250
4 Ho 0.105 0.295 0.674
5 Sc 0.000 0.000 0.000

Calculated values
Electronic total energy   -4.539 eV/atom
Volume   33.622 Å³ per atom
Theoretical density   7.16 g/cm³
Energy relative to the elements   0.26 eV/atom
Magnetization   0.00 μB/atom


Entry 7:
## SmDy2Cd (PBE)

Data for a relaxed SmDy2Cd crystal.

Unit cell a=7.725 b=7.725 c=7.725 alpha=90.00 beta=90.00 gamma=90.00
Space group Fm-3m (No. 225)
One atom of each set of equivalent atoms:
1 Sm 0.000 0.000 0.000
2 Dy 0.250 0.250 0.250
3 Cd 0.000 0.000 0.500

Calculated values
Electronic total energy   -3.707 eV/atom
Volume   28.816 Å³ per atom
Energy above the lowest structure with this stoichiometry   14.67 kJ per mole of atoms
Theoretical density   8.47 g/cm³
Energy relative to the elements   0.00 eV/atom
Magnetization   0.00 μB/atom


Entry 8:
## Ba2MgAl (PBE)

Data for a relaxed Ba2MgAl crystal.

Unit cell a=4.007 b=4.007 c=9.795 alpha=90.00 beta=90.00 gamma=90.00
Space group P4mm (No. 99)
One atom of each set of equivalent atoms:
1 Ba 0.000 0.000 0.000
2 Ba 0.500 0.500 0.390
3 Mg 0.000 0.000 0.639
4 Al 0.500 0.500 0.764

Calculated values
Electronic total energy   -2.248 eV/atom
Volume   39.312 Å³ per atom
Energy above the lowest structure with this stoichiometry   15.85 kJ per mole of atoms
Theoretical density   3.44 g/cm³
Energy relative to the elements   0.05 eV/atom
Magnetization   0.00 μB/atom


Question: What is the electronic total energy in the seventh record?
Answer: -3.707 eV/atom